[1]
Entry from OQMD via LeMat-Bulk: crystalline CoMo at its relaxed geometry (PBE).

SG = P-6m2 (187)

Lattice parameters (Å, degrees): 2.6915 2.6915 4.2066 90.00 90.00 120.00
Element x y z (fractional)
Co (0.0000, 0.0000, 0.0000)
Mo (0.6667, 0.3333, 0.5000)

---

[2]
Entry from OQMD via LeMat-Bulk: crystalline CoMo at its relaxed geometry (PBE).

SG = P4/mmm (123)

Lattice parameters (Å, degrees): 2.6459 2.6459 3.7052 90.00 90.00 90.00
Element x y z (fractional)
Co (0.0000, 0.0000, 0.0000)
Mo (0.5000, 0.5000, 0.5000)

---

[3]
Entry from OQMD via LeMat-Bulk: crystalline CoMo at its relaxed geometry (PBE).

SG = Pm-3m (221)

Lattice parameters (Å, degrees): 2.9960 2.9960 2.9960 90.00 90.00 90.00
Element x y z (fractional)
Co (0.0000, 0.0000, 0.0000)
Mo (0.5000, 0.5000, 0.5000)

---

| no. | uncorrected energy (eV/atom) | spin magnetization (μB/atom) | V (Å³/atom) |
| --- | --- | --- | --- |
| 1 | -8.769 | 0.214 | 13.2 |
| 2 | -8.822 | 0.000 | 13.0 |
| 3 | -8.693 | 1.024 | 13.4 |